The following is a DFT calculation (PBE) of a relaxed Pm8Dy3Sc2 crystal.

Lattice parameters (Å, degrees): 8.811 8.811 6.766 106.29 106.29 62.97
Element x y z (fractional)
1 Pm 0.058 0.696 0.305
2 Pm 0.097 0.097 0.214
3 Pm 0.304 0.942 0.695
4 Pm 0.311 0.311 0.608
5 Pm 0.689 0.689 0.392
6 Pm 0.696 0.058 0.305
7 Pm 0.903 0.903 0.786
8 Pm 0.942 0.304 0.695
9 Dy 0.331 0.669 0.000
10 Dy 0.500 0.500 0.500
11 Dy 0.669 0.331 0.000
12 Sc 0.306 0.306 0.081
13 Sc 0.694 0.694 0.919

Summary:
DFT total energy   -4.74 eV/atom
ΔH_f (0 K)   0.220 eV per atom
Space-group type   No. 12

The following is a DFT calculation (PBE) of a relaxed Bi2SCl crystal.

Lattice parameters (Å, degrees): 9.822 9.822 9.822 149.31 149.31 43.96
Element x y z (fractional)
1 Bi 0.063 0.625 0.938
2 Bi 0.375 0.313 0.438
3 Bi 0.687 0.125 0.062
4 Bi 0.875 0.937 0.562
5 S 0.000 0.000 0.000
6 S 0.750 0.250 0.500
7 Cl 0.250 0.750 0.500
8 Cl 0.500 0.500 0.000

Summary:
DFT total energy   -3.64 eV/atom
Formation energy from raw total energies   -201 meV per atom
Space-group type   No. 122

The following is a DFT calculation (PBE) of a relaxed Sr2MnCd crystal.

Lattice parameters (Å, degrees): 9.859 9.859 9.859 24.21 24.21 24.21
Element x y z (fractional)
1 Sr 0.246 0.246 0.246
2 Sr 0.754 0.754 0.754
3 Mn 0.500 0.500 0.500
4 Cd 0.000 0.000 0.000

Summary:
DFT total energy   -3.00 eV/atom
ΔH_f (0 K)   0.366 eV per atom
Space-group type   No. 166

The following is a DFT calculation (PBE) of a relaxed BaCuAu4 crystal.

Lattice parameters (Å, degrees): 7.962 7.962 6.550 90.35 90.35 42.23
Element x y z (fractional)
1 Ba 0.181 0.181 0.164
2 Ba 0.819 0.819 0.836
3 Cu 0.455 0.455 0.666
4 Cu 0.545 0.545 0.334
5 Au 0.136 0.646 0.349
6 Au 0.254 0.746 0.000
7 Au 0.277 0.277 0.638
8 Au 0.354 0.864 0.651
9 Au 0.646 0.136 0.349
10 Au 0.723 0.723 0.362
11 Au 0.746 0.254 0.000
12 Au 0.864 0.354 0.651

Summary:
DFT total energy   -3.50 eV/atom
ΔH_f (0 K)   -0.314 eV per atom
Space-group type   No. 12

The following is a DFT calculation (PBE) of a relaxed LaPW crystal.

Lattice parameters (Å, degrees): 6.053 6.053 6.053 148.60 148.60 45.00
Element x y z (fractional)
1 La 0.000 0.000 0.000
2 P 0.702 0.702 0.000
3 W 0.290 0.290 0.000

Summary:
DFT total energy   -8.04 eV/atom
ΔH_f (0 K)   -0.275 eV per atom
Space-group type   No. 107

The following is a DFT calculation (PBE) of a relaxed PmNi5Sn7 crystal.

Lattice parameters (Å, degrees): 7.177 7.177 7.177 133.09 95.92 102.33
Element x y z (fractional)
1 Pm 0.000 0.000 0.000
2 Ni 0.006 0.511 0.029
3 Ni 0.006 0.976 0.495
4 Ni 0.482 0.511 0.505
5 Ni 0.482 0.976 0.971
6 Ni 0.746 0.246 0.500
7 Sn 0.148 0.467 0.681
8 Sn 0.233 0.733 0.500
9 Sn 0.345 0.345 0.000
10 Sn 0.348 0.021 0.327
11 Sn 0.667 0.667 0.000
12 Sn 0.693 0.021 0.673
13 Sn 0.785 0.467 0.319

Summary:
DFT total energy   -4.91 eV/atom
ΔH_f (0 K)   -0.170 eV per atom
Space-group type   No. 44

The following is a DFT calculation (PBE) of a relaxed Tb2NdI crystal.

Lattice parameters (Å, degrees): 10.828 10.828 10.828 20.14 20.14 20.14
Element x y z (fractional)
1 Tb 0.000 0.000 0.000
2 Tb 0.179 0.179 0.179
3 Nd 0.422 0.422 0.422
4 I 0.589 0.589 0.589

Summary:
DFT total energy   -4.22 eV/atom
Formation energy from raw total energies   -330 meV per atom
Space-group type   No. 160

The following is a DFT calculation (PBE) of a relaxed Fe2Pt2N crystal.

Lattice parameters (Å, degrees): 6.221 6.221 6.221 146.68 146.68 47.84
Element x y z (fractional)
1 Fe 0.090 0.090 0.000
2 Fe 0.910 0.910 0.000
3 Pt 0.250 0.750 0.500
4 Pt 0.750 0.250 0.500
5 N 0.500 0.500 0.000

Summary:
DFT total energy   -6.01 eV/atom
Formation energy from raw total energies   1458 meV per atom
Space-group type   No. 139

The following is a DFT calculation (PBE) of a relaxed PmSm2H6 crystal.

Lattice parameters (Å, degrees): 8.504 8.504 8.504 154.13 154.13 36.91
Element x y z (fractional)
1 Pm 0.000 0.000 0.000
2 Sm 0.333 0.333 0.000
3 Sm 0.667 0.667 0.000
4 H 0.084 0.584 0.500
5 H 0.250 0.750 0.500
6 H 0.416 0.916 0.500
7 H 0.584 0.084 0.500
8 H 0.750 0.250 0.500
9 H 0.916 0.416 0.500

Summary:
DFT total energy   -4.48 eV/atom
Space-group type   No. 139

The following is a DFT calculation (PBE) of a relaxed LaBeI2O crystal.

Lattice parameters (Å, degrees): 6.519 6.519 4.297 90.00 90.00 90.00
Element x y z (fractional)
1 La 0.000 0.000 0.000
2 Be 0.500 0.500 0.500
3 I 0.000 0.500 0.000
4 I 0.500 0.000 0.000
5 O 0.000 0.000 0.500

Summary:
DFT total energy   -4.08 eV/atom
Formation energy from raw total energies   -739 meV per atom
Space-group type   No. 123

The following is a DFT calculation (PBE) of a relaxed BeRePb2 crystal.

Lattice parameters (Å, degrees): 5.047 5.047 5.047 127.47 127.47 77.48
Element x y z (fractional)
1 Be 0.000 0.000 0.000
2 Re 0.500 0.500 0.000
3 Pb 0.250 0.750 0.500
4 Pb 0.750 0.250 0.500

Summary:
DFT total energy   -4.75 eV/atom
ΔH_f (0 K)   1.151 eV per atom
Space-group type   No. 139

The following is a DFT calculation (PBE) of a relaxed ReSbRu2 crystal.

Lattice parameters (Å, degrees): 2.915 3.828 5.648 90.00 90.22 90.00
Element x y z (fractional)
1 Re 0.000 0.000 0.000
2 Sb 0.000 0.000 0.500
3 Ru 0.498 0.500 0.765
4 Ru 0.502 0.500 0.235

Summary:
DFT total energy   -8.53 eV/atom
Formation energy from raw total energies   254 meV per atom
Space-group type   No. 10

What is the formula in the third record? Sr2MnCd

Copy entry 11 word for word.
The following is a DFT calculation (PBE) of a relaxed BeRePb2 crystal.

Lattice parameters (Å, degrees): 5.047 5.047 5.047 127.47 127.47 77.48
Element x y z (fractional)
1 Be 0.000 0.000 0.000
2 Re 0.500 0.500 0.000
3 Pb 0.250 0.750 0.500
4 Pb 0.750 0.250 0.500

Summary:
DFT total energy   -4.75 eV/atom
ΔH_f (0 K)   1.151 eV per atom
Space-group type   No. 139